[1]
! Pu2Pa2S7 (PBE, relaxed); values from VASP
! Distance to the lowest polymorph of the same formula = 0 meV per atom
! Formation energy without anion corrections = -1.644 eV/atom
! Space group = No. 44
&SYSTEM
  ibrav = 0, nat = 11, ntyp = 3
/
ATOMIC_SPECIES
S 32.06 S.upf
Pu 244.00 Pu.upf
Pa 231.04 Pa.upf
ATOMIC_POSITIONS angstrom
S -2.503 -3.521 -2.055
S -1.125 -6.491 -1.319
S -3.060 -4.687 0.932
S -6.104 -6.611 0.673
S -3.608 -11.364 1.737
S -4.885 -9.698 -0.749
S -1.526 -9.337 0.057
Pu 0.707 -7.560 0.694
Pu -3.565 -7.304 -0.020
Pa -0.396 -3.938 -0.427
Pa -2.622 -11.790 -0.734
CELL_PARAMETERS angstrom
-1.325 -1.456 -3.399
2.443 -8.033 0.221
-5.519 -5.862 2.394


[2]
! Na5AcBr8 (PBE, relaxed); values from VASP
! Formation energy without anion corrections = -1.662 eV/atom
! Space group = No. 82
&SYSTEM
  ibrav = 0, nat = 14, ntyp = 3
/
ATOMIC_SPECIES
Br 79.90 Br.upf
Ac 227.00 Ac.upf
Na 22.99 Na.upf
ATOMIC_POSITIONS angstrom
Br -0.505 0.951 5.903
Br 3.015 2.362 4.386
Br 4.682 1.814 0.445
Br -1.755 4.955 1.649
Br 1.436 4.408 -1.203
Br -2.155 5.095 5.613
Br 1.485 5.819 3.120
Br 0.677 1.674 1.653
Ac -0.124 3.385 4.072
Na 2.559 0.811 -1.388
Na 6.118 2.618 -2.950
Na 3.452 5.958 -2.636
Na 3.689 0.000 2.638
Na 3.124 4.152 1.237
CELL_PARAMETERS angstrom
7.627 0.000 -2.868
-3.689 6.770 -2.638
-0.249 0.000 8.145


[3]
! La2SnI (PBE, relaxed); values from VASP
! Distance to the lowest polymorph of the same formula = 112 meV per atom
! Formation energy without anion corrections = -0.869 eV/atom
! Space group = No. 225
&SYSTEM
  ibrav = 0, nat = 4, ntyp = 3
/
ATOMIC_SPECIES
La 138.91 La.upf
Sn 118.71 Sn.upf
I 126.90 I.upf
ATOMIC_POSITIONS angstrom
La 5.978 5.978 5.978
La 1.993 1.993 1.993
Sn 0.000 0.000 0.000
I 3.985 3.985 3.985
CELL_PARAMETERS angstrom
0.000 3.985 3.985
3.985 0.000 3.985
3.985 3.985 0.000


[4]
! GePPtCl2 (PBE, relaxed); values from VASP
! Distance to the lowest polymorph of the same formula = 0 meV per atom
! Formation energy without anion corrections = 0.270 eV/atom
! Space group = No. 123
&SYSTEM
  ibrav = 0, nat = 5, ntyp = 4
/
ATOMIC_SPECIES
Pt 195.08 Pt.upf
P 30.97 P.upf
Ge 72.64 Ge.upf
Cl 35.45 Cl.upf
ATOMIC_POSITIONS angstrom
Pt -1.937 -0.607 1.102
P 0.000 0.000 0.000
Ge -3.708 1.636 -0.776
Cl -0.597 2.331 0.234
Cl -1.174 -0.089 -2.112
CELL_PARAMETERS angstrom
-2.347 -0.177 -4.224
-3.874 -1.213 2.204
-1.194 4.663 0.468


[5]
! Cs2KInI6 (PBE, relaxed); values from VASP
! Distance to the lowest polymorph of the same formula = 4 meV per atom
! Formation energy without anion corrections = -1.091 eV/atom
! Space group = No. 225
&SYSTEM
  ibrav = 0, nat = 10, ntyp = 4
/
ATOMIC_SPECIES
Cs 132.91 Cs.upf
I 126.90 I.upf
In 114.82 In.upf
K 39.10 K.upf
ATOMIC_POSITIONS angstrom
Cs 7.581 -9.334 -11.200
Cs 2.527 -3.111 -3.733
I 4.540 -6.071 -10.806
I 4.930 -9.600 -7.601
I 1.714 -6.120 -6.948
I 5.178 -2.846 -7.332
I 5.568 -6.375 -4.128
I 8.394 -6.325 -7.985
In 0.000 0.000 0.000
K 5.054 -6.223 -7.467
CELL_PARAMETERS angstrom
-1.193 -6.031 -6.497
5.286 0.093 -7.215
6.015 -6.507 -1.222


[6]
! Pm3Bi2C (PBE, relaxed); values from VASP
! Formation enthalpy at 0 K = -48.58 kJ per mole of atoms
! Space group = No. 15
&SYSTEM
  ibrav = 0, nat = 12, ntyp = 3
/
ATOMIC_SPECIES
Pm 145.00 Pm.upf
Bi 208.98 Bi.upf
C 12.01 C.upf
ATOMIC_POSITIONS angstrom
Pm -6.485 1.658 0.094
Pm -3.149 0.455 2.682
Pm 0.274 1.006 1.391
Pm -5.329 4.932 4.314
Pm -1.906 5.483 3.022
Pm -2.775 1.681 -0.806
Bi -0.752 3.987 0.211
Bi -4.303 1.951 5.493
Bi -0.858 2.463 4.230
Bi -4.197 3.475 1.475
C -1.816 -0.084 0.504
C -7.444 3.423 -1.216
CELL_PARAMETERS angstrom
-2.619 4.820 -3.578
-6.641 -1.481 2.866
4.205 2.600 6.417


| no. | volume (Å³ per atom) |
| --- | --- |
| 1 | 21.22 |
| 2 | 29.69 |
| 3 | 31.64 |
| 4 | 21.61 |
| 5 | 50.61 |
| 6 | 28.95 |